SrCo2As2O8: relaxed, PBE with a Hubbard U.

Summary:
Total DFT energy (no corrections) in eV per atom: -6.213

abc: 7.857 7.857 7.857
angles: 37.00 37.00 37.00
Element x y z (fractional)
1 O 0.121 0.427 0.784
2 O 0.784 0.121 0.427
3 O 0.216 0.879 0.573
4 Sr 0.000 0.000 0.000
5 O 0.343 0.343 0.343
6 Co 0.828 0.828 0.828
7 O 0.657 0.657 0.657
8 O 0.573 0.216 0.879
9 As 0.419 0.419 0.419
10 O 0.427 0.784 0.121
11 As 0.581 0.581 0.581
12 Co 0.172 0.172 0.172
13 O 0.879 0.573 0.216